# PBE SmPu3Zr2N6, relaxed
# * E_tot: -132.26 eV per formula unit
# * formation energy from raw total energies: -1.46 eV/atom
# * density: 11.25 Mg/m³
data_SmPu3Zr2N6
_symmetry_space_group_name_H-M 'C 1 2/m 1'
_symmetry_Int_Tables_number 12
_symmetry_space_group_name_Hall '-C 2y'
_cell_length_a 5.936
_cell_length_b 10.265
_cell_length_c 5.906
_cell_angle_alpha 90.00
_cell_angle_beta 109.53
_cell_angle_gamma 90.00
loop_
_atom_site_label
_atom_site_type_symbol
_atom_site_fract_x
_atom_site_fract_y
_atom_site_fract_z
_atom_site_occupancy
Sm1 Sm 0.000 0.000 0.000 1
Pu1 Pu 0.000 0.165 0.500 1
Pu2 Pu 0.000 0.500 0.500 1
Zr1 Zr 0.000 0.333 0.000 1
N1 N 0.229 0.500 0.242 1
N2 N 0.243 0.325 0.755 1


# PBE SmPuZr2N4, relaxed
# * E_tot: -81.97 eV per formula unit
# * formation energy from raw total energies: -1.56 eV/atom
# * density: 9.55 Mg/m³
data_SmPuZr2N4
_symmetry_space_group_name_H-M 'P 1 2/m 1'
_symmetry_Int_Tables_number 10
_symmetry_space_group_name_Hall '-P 2y'
_cell_length_a 5.827
_cell_length_b 3.374
_cell_length_c 5.925
_cell_angle_alpha 90.00
_cell_angle_beta 109.14
_cell_angle_gamma 90.00
loop_
_atom_site_label
_atom_site_type_symbol
_atom_site_fract_x
_atom_site_fract_y
_atom_site_fract_z
_atom_site_occupancy
Sm1 Sm 0.000 0.000 0.000 1
Pu1 Pu 0.500 0.500 0.000 1
Zr1 Zr 0.000 0.500 0.500 1
Zr2 Zr 0.500 0.000 0.500 1
N1 N 0.249 0.000 0.730 1
N2 N 0.262 0.500 0.275 1


# PBE SmPuZrN3, relaxed
# * E_tot: -60.15 eV per formula unit
# * formation energy from raw total energies: -1.26 eV/atom
# * density: 8.65 Mg/m³
data_SmPuZrN3
_symmetry_space_group_name_H-M 'P 1 21/m 1'
_symmetry_Int_Tables_number 11
_symmetry_space_group_name_Hall '-P 2yb'
_cell_length_a 6.391
_cell_length_b 3.263
_cell_length_c 9.714
_cell_angle_alpha 90.00
_cell_angle_beta 91.34
_cell_angle_gamma 90.00
loop_
_atom_site_label
_atom_site_type_symbol
_atom_site_fract_x
_atom_site_fract_y
_atom_site_fract_z
_atom_site_occupancy
Sm1 Sm 0.149 0.250 0.213 1
Pu1 Pu 0.220 0.250 0.569 1
Zr1 Zr 0.349 0.750 0.896 1
N1 N 0.139 0.250 0.837 1
N2 N 0.142 0.750 0.416 1
N3 N 0.392 0.750 0.110 1